Material: Ca2NiWO6
Method: DFT, PBE with a Hubbard U
State: optimized geometry

Cell: 5.2568 5.5883 9.8124 Å, 90.00 90.00 90.00°
Last column: magnetic moment on the atom in μB.
Fractional positions:
Ca  0.5000  0.5000  0.6826  0.00
Ca  0.0000  0.0000  0.1826  0.00
Ca  0.5000  0.5000  0.3174  0.00
Ca  0.0000  0.0000  0.8174  0.00
Ni  0.5000  0.5000  0.0000  1.72
Ni  0.0000  0.0000  0.5000  1.72
W  0.0000  0.5000  0.0000  -0.01
W  0.5000  0.0000  0.5000  -0.01
O  0.2965  0.7114  0.5000  0.04
O  0.2330  0.6321  0.8613  0.04
O  0.7670  0.3679  0.8613  0.04
O  0.7330  0.8679  0.3613  0.04
O  0.2035  0.2114  0.0000  0.04
O  0.2330  0.6321  0.1387  0.04
O  0.7035  0.2886  0.5000  0.04
O  0.2670  0.1321  0.3613  0.04
O  0.7965  0.7886  0.0000  0.04
O  0.7330  0.8679  0.6387  0.04
O  0.7670  0.3679  0.1387  0.04
O  0.2670  0.1321  0.6387  0.04

Summary:
E_tot in eV/atom: -6.6182